Material: InCoO3
Method: DFT, GGA+U
State: relaxed

For the density of states at the Fermi level, the calculation gives 2.69 states/eV per cell. The calculation puts the theoretical density at 5.5 g/cm³. As for the calculated total energy: -23.59 eV per formula unit.

```
InCoO3
1.0
-0.611 0.358 -3.999
-2.703 -3.028 0.142
-2.969 2.683 0.693
Co O In
1 3 1
Cartesian
-3.142 0.006 -1.582
-1.352 -1.514 0.071
-1.485 1.342 0.347
-0.305 0.179 -2.000
0.000 0.000 0.000
```